(1)
A plane-wave DFT calculation with GGA-PBE was carried out for a geometry-optimized Er4PbC2S structure.

CIF file:
```
data_Er4PbC2S
_cell_length_a 3.6356
_cell_length_b 3.6356
_cell_length_c 14.2827
_cell_angle_alpha 90.00
_cell_angle_beta 90.00
_cell_angle_gamma 120.00
_symmetry_space_group_name_H-M 'P -6 m 2'
_symmetry_Int_Tables_number 187
_symmetry_space_group_name_Hall 'P -6 2'
loop_
_atom_site_label
_atom_site_type_symbol
_atom_site_fract_x
_atom_site_fract_y
_atom_site_fract_z
Er1 Er 0.0000 0.0000 0.1303
Er2 Er 0.3333 0.6667 0.3143
Pb1 Pb 0.0000 0.0000 0.5000
C1 C 0.6667 0.3333 0.2243
S1 S 0.3333 0.6667 0.0000
```



(2)
A plane-wave DFT calculation with GGA-PBE was carried out for a geometry-optimized Gd2Pd structure.

Calculated values
ΔH_f (0 K) = -50.3 kJ/mol of atoms

CIF file:
```
data_Gd2Pd
_cell_length_a 7.6876
_cell_length_b 7.6876
_cell_length_c 4.4506
_cell_angle_alpha 90.00
_cell_angle_beta 90.00
_cell_angle_gamma 120.00
_symmetry_space_group_name_H-M 'P -6 2 m'
_symmetry_Int_Tables_number 189
_symmetry_space_group_name_Hall 'P -6 -2'
loop_
_atom_site_label
_atom_site_type_symbol
_atom_site_fract_x
_atom_site_fract_y
_atom_site_fract_z
Gd1 Gd 0.0000 0.4082 0.0000
Gd2 Gd 0.0000 0.7393 0.5000
Pd1 Pd 0.0000 0.0000 0.0000
Pd2 Pd 0.3333 0.6667 0.5000
```



(3)
A plane-wave DFT calculation with GGA-PBE was carried out for a geometry-optimized NaTmZnTe3 structure.

Calculated values
Energy above the most stable polymorph in this dataset = 9.9 meV/atom

CIF file:
```
data_NaTmZnTe3
_cell_length_a 14.973
_cell_length_b 4.288
_cell_length_c 11.684
_cell_angle_alpha 90.00
_cell_angle_beta 90.00
_cell_angle_gamma 90.00
_symmetry_space_group_name_H-M 'P n m a'
_symmetry_Int_Tables_number 62
_symmetry_space_group_name_Hall '-P 2ac 2n'
loop_
_atom_site_label
_atom_site_type_symbol
_atom_site_fract_x
_atom_site_fract_y
_atom_site_fract_z
Na1 Na 0.230 0.250 0.064
Tm1 Tm 0.015 0.250 0.343
Zn1 Zn 0.012 0.750 0.095
Te1 Te 0.100 0.750 0.886
Te2 Te 0.111 0.250 0.570
Te3 Te 0.140 0.750 0.249
```



(4)
A plane-wave DFT calculation with GGA-PBE was carried out for a geometry-optimized Tb2ErMg3CuPt2 structure.

CIF file:
```
data_Tb2ErMg3CuPt2
_cell_length_a 3.950
_cell_length_b 12.934
_cell_length_c 7.495
_cell_angle_alpha 90.00
_cell_angle_beta 90.00
_cell_angle_gamma 90.00
_symmetry_space_group_name_H-M 'A m m 2'
_symmetry_Int_Tables_number 38
_symmetry_space_group_name_Hall 'A 2 -2'
loop_
_atom_site_label
_atom_site_type_symbol
_atom_site_fract_x
_atom_site_fract_y
_atom_site_fract_z
Tb1 Tb 0.000 0.208 0.000
Er1 Er 0.000 0.000 0.377
Mg1 Mg 0.500 0.000 0.037
Mg2 Mg 0.500 0.122 0.669
Cu1 Cu 0.000 0.000 0.791
Pt1 Pt 0.500 0.165 0.293
```



(5)
A plane-wave DFT calculation with GGA-PBE was carried out for a geometry-optimized Ho3Te2As structure.

CIF file:
```
data_Ho3Te2As
_cell_length_a 4.2240
_cell_length_b 4.2240
_cell_length_c 10.5964
_cell_angle_alpha 90.00
_cell_angle_beta 90.00
_cell_angle_gamma 120.00
_symmetry_space_group_name_H-M 'P -3 m 1'
_symmetry_Int_Tables_number 164
_symmetry_space_group_name_Hall '-P 3 2"'
loop_
_atom_site_label
_atom_site_type_symbol
_atom_site_fract_x
_atom_site_fract_y
_atom_site_fract_z
Ho1 Ho 0.0000 0.0000 0.0000
Ho2 Ho 0.3333 0.6667 0.3599
Te1 Te 0.3333 0.6667 0.8257
As1 As 0.0000 0.0000 0.5000
```



(6)
A plane-wave DFT calculation with GGA-PBE was carried out for a geometry-optimized NpBi structure.

Calculated values
Energy above the most stable polymorph in this dataset = 660.8 meV/atom

CIF file:
```
data_NpBi
_cell_length_a 7.192
_cell_length_b 7.192
_cell_length_c 7.192
_cell_angle_alpha 90.00
_cell_angle_beta 90.00
_cell_angle_gamma 90.00
_symmetry_space_group_name_H-M 'F -4 3 m'
_symmetry_Int_Tables_number 216
_symmetry_space_group_name_Hall 'F -4 2 3'
loop_
_atom_site_label
_atom_site_type_symbol
_atom_site_fract_x
_atom_site_fract_y
_atom_site_fract_z
Np1 Np 0.000 0.000 0.000
Bi1 Bi 0.250 0.250 0.250
```



(7)
A plane-wave DFT calculation with GGA-PBE was carried out for a geometry-optimized Dy2OF2 structure.

Calculated values
Energy above the most stable polymorph in this dataset = 0.0 meV/atom

CIF file:
```
data_Dy2OF2
_cell_length_a 5.425
_cell_length_b 5.425
_cell_length_c 5.393
_cell_angle_alpha 90.00
_cell_angle_beta 90.00
_cell_angle_gamma 90.00
_symmetry_space_group_name_H-M 'P 42/m c m'
_symmetry_Int_Tables_number 132
_symmetry_space_group_name_Hall '-P 4c 2c'
loop_
_atom_site_label
_atom_site_type_symbol
_atom_site_fract_x
_atom_site_fract_y
_atom_site_fract_z
Dy1 Dy 0.235 0.235 0.000
O1 O 0.000 0.000 0.250
F1 F 0.000 0.500 0.250
```



(8)
A plane-wave DFT calculation with GGA-PBE was carried out for a geometry-optimized Lu4Mo2C3S3 structure.

CIF file:
```
data_Lu4Mo2C3S3
_cell_length_a 10.256
_cell_length_b 5.963
_cell_length_c 12.590
_cell_angle_alpha 90.00
_cell_angle_beta 105.19
_cell_angle_gamma 90.00
_symmetry_space_group_name_H-M 'C 1 2/c 1'
_symmetry_Int_Tables_number 15
_symmetry_space_group_name_Hall '-C 2yc'
loop_
_atom_site_label
_atom_site_type_symbol
_atom_site_fract_x
_atom_site_fract_y
_atom_site_fract_z
Lu1 Lu 0.120 0.074 0.108
Lu2 Lu 0.210 0.087 0.392
Mo1 Mo 0.065 0.409 0.918
C1 C 0.077 0.267 0.500
C2 C 0.250 0.250 0.000
S1 S 0.000 0.121 0.750
S2 S 0.154 0.429 0.250
```



Number 1: density 9.47 g/cm³, uncorrected energy -51.81 eV/cell. Number 2: density 9.21 g/cm³, uncorrected energy -48.14 eV/cell. Number 3: density 5.67 g/cm³, uncorrected energy -89.03 eV/cell. Number 4: density 8.77 g/cm³, uncorrected energy -81.59 eV/cell. Number 5: density 8.37 g/cm³, uncorrected energy -33.01 eV/cell. Number 6: density 7.96 g/cm³, uncorrected energy -61.78 eV/cell. Number 7: density 7.93 g/cm³, uncorrected energy -68.14 eV/cell. Number 8: density 9.15 g/cm³, uncorrected energy -367.90 eV/cell.